Record 1
Below is an optimized crystal structure of CePuIn, with properties calculated at the GGA-PBE level.

Values from the calculation:
offset from the most stable computed form = 0.106 eV per atom
calculated formation energy = -0.057 eV/atom
calculated density = 11.1 g cm⁻³
DOS at the Fermi energy = 19.9 states/eV/cell

```
data_CePuIn
_cell_length_a 3.405
_cell_length_b 6.199
_cell_length_c 14.172
_cell_angle_alpha 90.00
_cell_angle_beta 90.00
_cell_angle_gamma 90.00
_symmetry_space_group_name_H-M 'P 1'
_symmetry_Int_Tables_number 1
loop_
_symmetry_equiv_pos_as_xyz
'x,y,z'
loop_
_atom_site_label
_atom_site_type_symbol
_atom_site_fract_x
_atom_site_fract_y
_atom_site_fract_z
_atom_site_occupancy
Ce1 Ce 0.000 0.000 0.168 1
Ce2 Ce 0.000 0.000 0.832 1
Ce3 Ce 0.500 0.500 0.332 1
Ce4 Ce 0.500 0.500 0.668 1
Pu1 Pu 0.000 0.500 0.182 1
Pu2 Pu 0.000 0.500 0.818 1
Pu3 Pu 0.500 0.000 0.318 1
Pu4 Pu 0.500 0.000 0.682 1
In1 In 0.000 0.241 0.500 1
In2 In 0.000 0.759 0.500 1
In3 In 0.500 0.259 0.000 1
In4 In 0.500 0.741 0.000 1
```

Record 2
Below is an optimized crystal structure of Li2ZrPb, with properties calculated at the GGA-PBE level.

Values from the calculation:
calculated formation energy = -0.018 eV/atom
calculated density = 6.0 g cm⁻³
DOS at the Fermi energy = 1.6 states/eV/cell

```
data_Li2ZrPb
_cell_length_a 3.164
_cell_length_b 4.552
_cell_length_c 6.231
_cell_angle_alpha 90.00
_cell_angle_beta 104.48
_cell_angle_gamma 90.00
_symmetry_space_group_name_H-M 'P 1'
_symmetry_Int_Tables_number 1
loop_
_symmetry_equiv_pos_as_xyz
'x,y,z'
loop_
_atom_site_label
_atom_site_type_symbol
_atom_site_fract_x
_atom_site_fract_y
_atom_site_fract_z
_atom_site_occupancy
Li1 Li 0.000 0.000 0.000 1
Li2 Li 0.401 0.500 0.818 1
Zr1 Zr 0.736 0.000 0.498 1
Pb1 Pb 0.122 0.500 0.273 1
```

Record 3
Below is an optimized crystal structure of VH2, with properties calculated at the GGA-PBE level.

Values from the calculation:
calculated density = 4.3 g cm⁻³
final energy = -5.306 eV/atom
DOS at the Fermi energy = 1.3 states/eV/cell

```
data_VH2
_cell_length_a 7.488
_cell_length_b 2.592
_cell_length_c 4.796
_cell_angle_alpha 90.00
_cell_angle_beta 118.49
_cell_angle_gamma 90.00
_symmetry_space_group_name_H-M 'P 1'
_symmetry_Int_Tables_number 1
loop_
_symmetry_equiv_pos_as_xyz
'x,y,z'
loop_
_atom_site_label
_atom_site_type_symbol
_atom_site_fract_x
_atom_site_fract_y
_atom_site_fract_z
_atom_site_occupancy
V1 V 0.174 0.000 0.184 1
V2 V 0.326 0.500 0.816 1
V3 V 0.674 0.500 0.184 1
V4 V 0.826 0.000 0.816 1
H1 H 0.072 0.500 0.859 1
H2 H 0.161 0.000 0.560 1
H3 H 0.339 0.500 0.440 1
H4 H 0.428 0.000 0.141 1
H5 H 0.572 0.000 0.859 1
H6 H 0.661 0.500 0.560 1
H7 H 0.839 0.000 0.440 1
H8 H 0.928 0.500 0.141 1
```

Record 4
Below is an optimized crystal structure of Pm4Te3I, with properties calculated at the GGA-PBE level.

Values from the calculation:
offset from the most stable computed form = 0.040 eV per atom
calculated density = 7.1 g cm⁻³
DOS at the Fermi energy = 5.4 states/eV/cell

```
data_Pm4Te3I
_cell_length_a 15.159
_cell_length_b 15.159
_cell_length_c 15.159
_cell_angle_alpha 16.89
_cell_angle_beta 16.89
_cell_angle_gamma 16.89
_symmetry_space_group_name_H-M 'P 1'
_symmetry_Int_Tables_number 1
loop_
_symmetry_equiv_pos_as_xyz
'x,y,z'
loop_
_atom_site_label
_atom_site_type_symbol
_atom_site_fract_x
_atom_site_fract_y
_atom_site_fract_z
_atom_site_occupancy
Pm1 Pm 0.118 0.118 0.118 1
Pm2 Pm 0.376 0.376 0.376 1
Pm3 Pm 0.624 0.624 0.624 1
Pm4 Pm 0.882 0.882 0.882 1
Te1 Te 0.000 0.000 0.000 1
Te2 Te 0.252 0.252 0.252 1
Te3 Te 0.748 0.748 0.748 1
I1 I 0.500 0.500 0.500 1
```

| no. | volume (Å³/cell) |
| --- | --- |
| 1 | 299 |
| 2 | 87 |
| 3 | 82 |
| 4 | 257 |